{
  "formula": "MgAg4Au8",
  "functional": "PBE",
  "state": "optimized geometry",
  "spacegroup": "F-43m",
  "dos_ef_per_ev_atom": 0.431,
  "dft_energy_ev_per_atom": -2.81,
  "formation_enthalpy_0k_kj_per_mol_atoms": 20,
  "vol_a3_per_fu": 286.5,
  "crystal_system": "cubic",
  "cell": [[7.400, 0.000, 0.000], [3.700, 6.408, 0.000], [3.700, 2.136, 6.042]],
  "species": ["Mg", "Ag", "Ag", "Ag", "Ag", "Au", "Au", "Au", "Au", "Au", "Au", "Au", "Au"],
  "frac_coords": [[0.750, 0.750, 0.750], [0.957, 0.348, 0.348], [0.348, 0.957, 0.348], [0.348, 0.348, 0.957], [0.348, 0.348, 0.348], [0.719, 0.094, 0.094], [0.094, 0.719, 0.094], [0.094, 0.094, 0.719], [0.094, 0.094, 0.094], [0.189, 0.604, 0.604], [0.604, 0.189, 0.604], [0.604, 0.604, 0.189], [0.604, 0.604, 0.604]]
}